[1]
{"formula": "Ba4TiAs4", "functional": "meta-GGA SCAN", "state": "single point on PBEsol structure", "mass_density_g_cm3": 5.0, "space_group": "P-43n (218)", "e_tot_ev_per_atom": -29.607, "total_magnetization_mub_per_cell": 0.00, "cell": [[13.394, 0.000, 0.000], [0.000, 13.394, 0.000], [0.000, 0.000, 13.394]], "species": ["Ba", "Ba", "Ba", "Ba", "Ba", "Ba", "Ba", "Ba", "Ba", "Ba", "Ba", "Ba", "Ba", "Ba", "Ba", "Ba", "Ba", "Ba", "Ba", "Ba", "Ba", "Ba", "Ba", "Ba", "Ba", "Ba", "Ba", "Ba", "Ba", "Ba", "Ba", "Ba", "Ti", "Ti", "Ti", "Ti", "Ti", "Ti", "Ti", "Ti", "As", "As", "As", "As", "As", "As", "As", "As", "As", "As", "As", "As", "As", "As", "As", "As", "As", "As", "As", "As", "As", "As", "As", "As", "As", "As", "As", "As", "As", "As", "As", "As"], "fractional_positions": [[0.148, 0.148, 0.148], [0.352, 0.648, 0.352], [0.648, 0.352, 0.352], [0.352, 0.352, 0.648], [0.148, 0.852, 0.852], [0.852, 0.852, 0.148], [0.852, 0.148, 0.852], [0.648, 0.648, 0.648], [0.907, 0.863, 0.648], [0.907, 0.137, 0.352], [0.863, 0.648, 0.907], [0.137, 0.648, 0.093], [0.648, 0.907, 0.863], [0.352, 0.093, 0.863], [0.593, 0.852, 0.363], [0.593, 0.148, 0.637], [0.407, 0.852, 0.637], [0.148, 0.637, 0.593], [0.637, 0.407, 0.852], [0.637, 0.593, 0.148], [0.852, 0.363, 0.593], [0.363, 0.593, 0.852], [0.852, 0.637, 0.407], [0.148, 0.363, 0.407], [0.363, 0.407, 0.148], [0.352, 0.907, 0.137], [0.648, 0.093, 0.137], [0.863, 0.352, 0.093], [0.137, 0.352, 0.907], [0.093, 0.137, 0.648], [0.093, 0.863, 0.352], [0.407, 0.148, 0.363], [0.000, 0.000, 0.000], [0.750, 0.000, 0.500], [0.500, 0.750, 0.000], [0.500, 0.250, 0.000], [0.000, 0.500, 0.250], [0.000, 0.500, 0.750], [0.250, 0.000, 0.500], [0.500, 0.500, 0.500], [0.605, 0.852, 0.112], [0.648, 0.105, 0.388], [0.895, 0.612, 0.648], [0.105, 0.612, 0.352], [0.612, 0.648, 0.895], [0.388, 0.352, 0.895], [0.852, 0.888, 0.395], [0.852, 0.112, 0.605], [0.148, 0.888, 0.605], [0.394, 0.394, 0.394], [0.605, 0.148, 0.888], [0.648, 0.895, 0.612], [0.888, 0.395, 0.852], [0.395, 0.852, 0.888], [0.888, 0.605, 0.148], [0.112, 0.395, 0.148], [0.395, 0.148, 0.112], [0.388, 0.648, 0.105], [0.612, 0.352, 0.105], [0.895, 0.388, 0.352], [0.105, 0.388, 0.648], [0.352, 0.105, 0.612], [0.352, 0.895, 0.388], [0.148, 0.112, 0.395], [0.106, 0.894, 0.106], [0.106, 0.106, 0.894], [0.894, 0.106, 0.106], [0.606, 0.606, 0.394], [0.394, 0.606, 0.606], [0.606, 0.394, 0.606], [0.894, 0.894, 0.894], [0.112, 0.605, 0.852]]}

[2]
{"formula": "Ta2TcHg", "functional": "meta-GGA SCAN", "state": "single point on PBEsol structure", "mass_density_g_cm3": 16.3, "space_group": "I4/mmm (139)", "e_tot_ev_per_atom": -59.020, "n_ef_per_ev_fu": 2.5, "total_magnetization_mub_per_cell": 0.00, "cell": [[4.100, 0.000, 0.000], [0.000, 4.100, 0.000], [-2.050, -2.050, 3.997]], "species": ["Hg", "Ta", "Ta", "Tc"], "fractional_positions": [[0.000, 0.000, 0.000], [0.750, 0.250, 0.500], [0.250, 0.750, 0.500], [0.500, 0.500, 0.000]]}

[3]
{"formula": "Y2TlFe2", "functional": "meta-GGA SCAN", "state": "single point on PBEsol structure", "mass_density_g_cm3": 8.2, "space_group": "Cmmm (65)", "e_tot_ev_per_atom": -32.975, "n_ef_per_ev_fu": 4.1, "total_magnetization_mub_per_cell": 0.00, "cell": [[-1.965, 3.000, -0.918], [0.821, -0.655, -3.899], [-4.547, -5.283, -0.070]], "species": ["Y", "Y", "Tl", "Fe", "Fe"], "fractional_positions": [[0.638, 0.500, 0.276], [0.362, 0.500, 0.724], [0.000, 0.000, 0.000], [0.213, 0.000, 0.425], [0.787, 0.000, 0.575]]}

[4]
{"formula": "MgSe2I", "functional": "meta-GGA SCAN", "state": "single point on PBEsol structure", "mass_density_g_cm3": 5.6, "e_form_raw_ev_per_atom": 0.244, "space_group": "Fm-3m (225)", "n_ef_per_ev_fu": 3.5, "total_magnetization_mub_per_cell": 0.00, "cell": [[5.053, 0.000, 0.000], [2.526, 4.376, 0.000], [2.526, 1.459, 4.125]], "species": ["I", "Mg", "Se", "Se"], "fractional_positions": [[0.500, 0.500, 0.500], [0.000, 0.000, 0.000], [0.250, 0.250, 0.250], [0.750, 0.750, 0.750]]}

[5]
{"formula": "Sr3TbRhO6", "functional": "meta-GGA SCAN", "state": "single point on PBEsol structure", "mass_density_g_cm3": 6.7, "e_form_raw_ev_per_atom": -2.861, "space_group": "R-3c (167)", "n_ef_per_ev_fu": 0.0, "total_magnetization_mub_per_cell": 0.00, "cell": [[6.756, 0.004, 0.004], [-0.243, 6.751, 0.004], [-0.243, -0.252, 6.747]], "species": ["Sr", "Sr", "Sr", "Sr", "Sr", "Sr", "Tb", "Tb", "Rh", "Rh", "O", "O", "O", "O", "O", "O", "O", "O", "O", "O", "O", "O"], "fractional_positions": [[0.619, 0.250, 0.881], [0.250, 0.881, 0.619], [0.881, 0.619, 0.250], [0.381, 0.750, 0.119], [0.119, 0.381, 0.750], [0.750, 0.119, 0.381], [0.750, 0.750, 0.750], [0.250, 0.250, 0.250], [0.500, 0.500, 0.500], [0.000, 0.000, 0.000], [0.791, 0.454, 0.589], [0.589, 0.791, 0.454], [0.454, 0.589, 0.791], [0.046, 0.709, 0.911], [0.911, 0.046, 0.709], [0.709, 0.911, 0.046], [0.209, 0.546, 0.411], [0.411, 0.209, 0.546], [0.546, 0.411, 0.209], [0.954, 0.291, 0.089], [0.291, 0.089, 0.954], [0.089, 0.954, 0.291]]}

[6]
{"formula": "BaCdAsF", "functional": "meta-GGA SCAN", "state": "single point on PBEsol structure", "mass_density_g_cm3": 6.2, "e_form_raw_ev_per_atom": -2.027, "space_group": "P4/nmm (129)", "total_magnetization_mub_per_cell": 0.00, "cell": [[4.389, 0.000, 0.000], [0.000, 4.389, 0.000], [0.000, 0.000, 9.490]], "species": ["As", "As", "F", "F", "Ba", "Ba", "Cd", "Cd"], "fractional_positions": [[0.000, 0.500, 0.322], [0.500, 0.000, 0.678], [0.500, 0.500, 0.000], [0.000, 0.000, 0.000], [0.000, 0.500, 0.844], [0.500, 0.000, 0.156], [0.500, 0.500, 0.500], [0.000, 0.000, 0.500]]}